Record 1
This record from Alexandria via LeMat-Bulk describes a geometry-optimized ThTiBi structure. The functional is PBE.

Results
**Final energy**: -19.3 eV for the cell shown
**Crystal system**: hexagonal
**Magnetic moment**: 0.936 μB per atom

Lattice parameters (Å, degrees): 4.925 4.925 3.907 90.00 90.00 120.00
Fractional positions:
Th  0.000  0.000  0.000
Ti  0.667  0.333  0.500
Bi  0.333  0.667  0.500

Record 2
This record from Alexandria via LeMat-Bulk describes a geometry-optimized Th2TiBi structure. The functional is PBE.

Results
**Final energy**: -25.2 eV for the cell shown
**Crystal system**: trigonal
**Magnetic moment**: 0.398 μB per atom

Lattice parameters (Å, degrees): 11.964 11.964 11.964 16.19 16.19 16.19
Fractional positions:
Th  0.084  0.084  0.084
Th  0.916  0.916  0.916
Ti  0.000  0.000  0.000
Bi  0.500  0.500  0.500

Record 3
This record from Alexandria via LeMat-Bulk describes a geometry-optimized ThTiBi2 structure. The functional is PBE.

Results
**Final energy**: -23.8 eV for the cell shown
**Crystal system**: tetragonal
**Magnetic moment**: 0.188 μB per atom

Lattice parameters (Å, degrees): 3.688 3.688 7.789 90.00 90.00 90.00
Fractional positions:
Th  0.000  0.000  0.000
Ti  0.000  0.000  0.500
Bi  0.500  0.500  0.283
Bi  0.500  0.500  0.717

Record 4
This record from Alexandria via LeMat-Bulk describes a geometry-optimized ThTi2Bi structure. The functional is PBE.

Results
**Final energy**: -27.4 eV for the cell shown
**Crystal system**: tetragonal
**Magnetic moment**: 0.000 μB per atom

Lattice parameters (Å, degrees): 4.806 4.806 3.829 90.00 90.00 90.00
Fractional positions:
Th  0.000  0.000  0.000
Ti  0.000  0.500  0.500
Ti  0.500  0.000  0.500
Bi  0.500  0.500  0.000

Record 5
This record from Alexandria via LeMat-Bulk describes a geometry-optimized ThTiBi2 structure. The functional is PBE.

Results
**Final energy**: -23.8 eV for the cell shown
**Crystal system**: tetragonal
**Magnetic moment**: 0.444 μB per atom

Lattice parameters (Å, degrees): 5.336 5.336 3.873 90.00 90.00 90.00
Fractional positions:
Th  0.000  0.000  0.000
Ti  0.500  0.500  0.000
Bi  0.000  0.500  0.500
Bi  0.500  0.000  0.500

Record 6
This record from Alexandria via LeMat-Bulk describes a geometry-optimized ThTiBi2 structure. The functional is PBE.

Results
**Final energy**: -22.1 eV for the cell shown
**Crystal system**: trigonal
**Magnetic moment**: 0.445 μB per atom

Lattice parameters (Å, degrees): 11.604 11.604 11.604 17.07 17.07 17.07
Fractional positions:
Th  0.000  0.000  0.000
Ti  0.500  0.500  0.500
Bi  0.416  0.416  0.416
Bi  0.584  0.584  0.584

Record 7
This record from Alexandria via LeMat-Bulk describes a geometry-optimized ThTi2Bi structure. The functional is PBE.

Results
**Final energy**: -27.2 eV for the cell shown
**Crystal system**: cubic
**Magnetic moment**: 0.000 μB per atom

Lattice parameters (Å, degrees): 4.978 4.978 4.978 60.00 60.00 60.00
Fractional positions:
Th  0.000  0.000  0.000
Ti  0.250  0.250  0.250
Ti  0.750  0.750  0.750
Bi  0.500  0.500  0.500

Record 8
This record from Alexandria via LeMat-Bulk describes a geometry-optimized ThTi4Bi4 structure. The functional is PBE.

Results
**Final energy**: -105.0 eV for the cell shown
**Crystal system**: tetragonal
**Magnetic moment**: 0.000 μB per atom

Lattice parameters (Å, degrees): 9.210 9.210 5.818 90.00 90.00 90.00
Fractional positions:
Th  0.250  0.250  0.250
Th  0.750  0.750  0.750
Ti  0.090  0.908  0.117
Ti  0.092  0.590  0.617
Ti  0.408  0.910  0.617
Ti  0.410  0.592  0.117
Ti  0.590  0.408  0.883
Ti  0.592  0.090  0.383
Ti  0.908  0.410  0.383
Ti  0.910  0.092  0.883
Bi  0.100  0.895  0.633
Bi  0.105  0.600  0.133
Bi  0.395  0.900  0.133
Bi  0.400  0.605  0.633
Bi  0.600  0.395  0.367
Bi  0.605  0.100  0.867
Bi  0.895  0.400  0.867
Bi  0.900  0.105  0.367